DFT (PBE) results for Cs2CaCdBr after structural relaxation.

Cell: 7.899 7.899 6.049 Å, 90.00 90.00 90.00°
Fractional positions:
Cs  0.000  0.500  0.000
Cs  0.500  0.000  0.000
Ca  0.000  0.000  0.000
Cd  0.000  0.000  0.500
Br  0.500  0.500  0.500

- Space-group type: No. 123
- Crystal system: tetragonal
- Energy: -6.839 eV/cell
- D(E_F): 1.690 states/eV/atom
- Total moment: 0.66 Bohr magnetons per cell

***

DFT (PBE) results for Tb5DyGa6 after structural relaxation.

Cell: 8.013 8.013 7.162 Å, 90.00 90.00 143.15°
Fractional positions:
Tb  0.000  0.000  0.000
Tb  0.333  0.667  0.000
Tb  0.333  0.667  0.500
Tb  0.667  0.333  0.000
Tb  0.667  0.333  0.500
Dy  0.000  0.000  0.500
Ga  0.166  0.834  0.251
Ga  0.166  0.834  0.749
Ga  0.500  0.500  0.251
Ga  0.500  0.500  0.749
Ga  0.834  0.166  0.251
Ga  0.834  0.166  0.749

- Space-group type: No. 65
- E_form: -679 kJ/mol of formula units
- Crystal system: orthorhombic
- Energy: -52.951 eV/cell
- D(E_F): 0.333 states/eV/atom
- Total moment: 0.00 Bohr magnetons per cell

***

DFT (PBE) results for LiVP2 after structural relaxation.

Cell: 6.551 6.551 6.551 Å, 127.67 127.67 77.16°
Fractional positions:
Li  0.000  0.000  0.000
Li  0.750  0.250  0.500
V  0.250  0.750  0.500
V  0.500  0.500  0.000
P  0.171  0.625  0.046
P  0.375  0.421  0.546
P  0.579  0.125  0.954
P  0.875  0.829  0.454

- Space-group type: No. 122
- E_form: -51 kJ/mol of formula units
- Excess energy over the best structure of this formula in the dataset: 35.9 kJ per mole of atoms
- Crystal system: tetragonal
- Energy: -44.757 eV/cell
- D(E_F): 0.080 states/eV/atom
- Total moment: 0.00 Bohr magnetons per cell

***

DFT (PBE) results for KSnAuSe3 after structural relaxation.

Cell: 8.177 8.177 7.656 Å, 107.07 107.07 57.44°
Fractional positions:
K  0.164  0.164  0.249
K  0.836  0.836  0.751
Sn  0.421  0.421  0.129
Sn  0.579  0.579  0.871
Au  0.203  0.797  0.500
Au  0.797  0.203  0.500
Se  0.078  0.633  0.216
Se  0.367  0.922  0.784
Se  0.387  0.387  0.771
Se  0.613  0.613  0.229
Se  0.633  0.078  0.216
Se  0.922  0.367  0.784

- Space-group type: No. 12
- Excess energy over the best structure of this formula in the dataset: 3.8 kJ per mole of atoms
- Crystal system: monoclinic
- Energy: -44.335 eV/cell
- Total moment: 0.00 Bohr magnetons per cell

***

DFT (PBE) results for HfNbHg2 after structural relaxation.

Cell: 4.863 4.863 4.863 Å, 60.00 60.00 60.00°
Fractional positions:
Hf  0.000  0.000  0.000
Nb  0.500  0.500  0.500
Hg  0.250  0.250  0.250
Hg  0.750  0.750  0.750

- Space-group type: No. 225
- E_form: 90 kJ/mol of formula units
- Excess energy over the best structure of this formula in the dataset: 15.4 kJ per mole of atoms
- Crystal system: cubic
- Energy: -19.693 eV/cell
- D(E_F): 0.895 states/eV/atom
- Total moment: 0.85 Bohr magnetons per cell

***

DFT (PBE) results for AsP2 after structural relaxation.

Cell: 3.220 3.220 5.980 Å, 90.00 90.00 120.00°
Fractional positions:
As  0.000  0.000  0.000
P  0.333  0.667  0.394
P  0.667  0.333  0.606

- Space-group type: No. 164
- E_form: 97 kJ/mol of formula units
- Excess energy over the best structure of this formula in the dataset: 21.7 kJ per mole of atoms
- Crystal system: trigonal
- Energy: -14.463 eV/cell
- D(E_F): 0.312 states/eV/atom
- Total moment: 0.00 Bohr magnetons per cell

***

DFT (PBE) results for CeCo2Ge after structural relaxation.

Cell: 7.249 6.266 5.619 Å, 90.00 90.00 90.00°
Fractional positions:
Ce  0.041  0.250  0.170
Ce  0.459  0.750  0.670
Ce  0.541  0.250  0.330
Ce  0.959  0.750  0.830
Co  0.167  0.050  0.591
Co  0.167  0.450  0.591
Co  0.333  0.550  0.091
Co  0.333  0.950  0.091
Co  0.667  0.050  0.909
Co  0.667  0.450  0.909
Co  0.833  0.550  0.409
Co  0.833  0.950  0.409
Ge  0.121  0.750  0.330
Ge  0.379  0.250  0.830
Ge  0.621  0.750  0.170
Ge  0.879  0.250  0.670

- Space-group type: No. 62
- E_form: -169 kJ/mol of formula units
- Excess energy over the best structure of this formula in the dataset: 0.0 kJ per mole of atoms
- Crystal system: orthorhombic
- Energy: -106.044 eV/cell
- D(E_F): 0.860 states/eV/atom
- Total moment: 0.00 Bohr magnetons per cell

***

DFT (PBE) results for Ba2MnBr after structural relaxation.

Cell: 7.688 7.688 7.688 Å, 110.64 110.64 107.15°
Fractional positions:
Ba  0.122  0.125  0.497
Ba  0.375  0.878  0.003
Ba  0.628  0.625  0.503
Ba  0.875  0.372  0.997
Mn  0.250  0.750  0.500
Mn  0.500  0.500  0.000
Br  0.000  0.000  0.000
Br  0.750  0.250  0.500

- Space-group type: No. 122
- Excess energy over the best structure of this formula in the dataset: 20.5 kJ per mole of atoms
- Crystal system: tetragonal
- Energy: -30.969 eV/cell
- D(E_F): 0.885 states/eV/atom
- Total moment: 7.73 Bohr magnetons per cell

***

DFT (PBE) results for LiZn2Re after structural relaxation.

Cell: 2.622 2.622 8.884 Å, 90.00 90.00 107.61°
Fractional positions:
Li  0.000  0.000  0.000
Zn  0.000  0.000  0.497
Zn  0.500  0.500  0.750
Re  0.500  0.500  0.251

- Space-group type: No. 35
- E_form: 41 kJ/mol of formula units
- Excess energy over the best structure of this formula in the dataset: 11.2 kJ per mole of atoms
- Crystal system: orthorhombic
- Energy: -16.486 eV/cell
- D(E_F): 0.312 states/eV/atom
- Total moment: 0.00 Bohr magnetons per cell

***

DFT (PBE) results for Fe2IrOs after structural relaxation.

Cell: 2.652 2.652 8.695 Å, 90.00 90.00 117.13°
Fractional positions:
Fe  0.000  0.000  0.000
Fe  0.500  0.500  0.230
Ir  0.000  0.000  0.480
Os  0.500  0.500  0.754

- Space-group type: No. 35
- E_form: 102 kJ/mol of formula units
- Crystal system: orthorhombic
- Energy: -35.959 eV/cell
- D(E_F): 1.105 states/eV/atom
- Total moment: 5.72 Bohr magnetons per cell

***

DFT (PBE) results for Sm3As4Pd2 after structural relaxation.

Cell: 6.643 6.643 8.558 Å, 116.66 116.66 37.07°
Fractional positions:
Sm  0.000  0.000  0.000
Sm  0.356  0.356  0.261
Sm  0.644  0.644  0.739
As  0.059  0.059  0.404
As  0.322  0.322  0.897
As  0.678  0.678  0.103
As  0.941  0.941  0.596
Pd  0.340  0.340  0.614
Pd  0.660  0.660  0.386

- Space-group type: No. 12
- E_form: -918 kJ/mol of formula units
- Crystal system: monoclinic
- Energy: -52.653 eV/cell
- D(E_F): 0.433 states/eV/atom
- Total moment: 0.00 Bohr magnetons per cell

***

DFT (PBE) results for Pr2GdBr after structural relaxation.

Cell: 3.627 3.627 9.756 Å, 90.00 90.00 90.00°
Fractional positions:
Pr  0.000  0.000  0.234
Pr  0.000  0.000  0.766
Gd  0.500  0.500  0.500
Br  0.500  0.500  0.000

- Space-group type: No. 123
- Excess energy over the best structure of this formula in the dataset: 8.3 kJ per mole of atoms
- Crystal system: tetragonal
- Energy: -27.190 eV/cell
- D(E_F): 1.132 states/eV/atom
- Total moment: 7.32 Bohr magnetons per cell

***

DFT (PBE) results for In4PdI2 after structural relaxation.

Cell: 9.631 9.631 9.631 Å, 148.18 148.18 45.62°
Fractional positions:
In  0.000  0.500  0.500
In  0.153  0.153  0.000
In  0.500  0.000  0.500
In  0.847  0.847  0.000
Pd  0.000  0.000  0.000
I  0.346  0.346  0.000
I  0.654  0.654  0.000

- Space-group type: No. 139
- Crystal system: tetragonal
- Energy: -21.438 eV/cell
- D(E_F): 0.279 states/eV/atom
- Total moment: 0.00 Bohr magnetons per cell

***

DFT (PBE) results for Ir2RuW3 after structural relaxation.

Cell: 2.781 2.781 11.747 Å, 90.00 90.00 90.00°
Fractional positions:
Ir  0.000  0.000  0.166
Ir  0.000  0.000  0.834
Ru  0.000  0.000  0.500
W  0.500  0.500  0.000
W  0.500  0.500  0.336
W  0.500  0.500  0.664

- Space-group type: No. 123
- E_form: -97 kJ/mol of formula units
- Crystal system: tetragonal
- Energy: -66.860 eV/cell
- D(E_F): 0.738 states/eV/atom
- Total moment: 0.00 Bohr magnetons per cell

***

DFT (PBE) results for Er5Pu3N8 after structural relaxation.

Cell: 6.877 6.877 6.877 Å, 60.20 60.20 60.20°
Fractional positions:
Er  0.000  0.000  0.000
Er  0.000  0.500  0.500
Er  0.500  0.000  0.500
Er  0.500  0.500  0.000
Er  0.500  0.500  0.500
Pu  0.000  0.000  0.500
Pu  0.000  0.500  0.000
Pu  0.500  0.000  0.000
N  0.247  0.750  0.750
N  0.249  0.249  0.249
N  0.250  0.250  0.753
N  0.250  0.753  0.250
N  0.750  0.247  0.750
N  0.750  0.750  0.247
N  0.751  0.751  0.751
N  0.753  0.250  0.250

- Space-group type: No. 166
- Crystal system: trigonal
- Energy: -157.507 eV/cell
- D(E_F): 1.257 states/eV/atom
- Total moment: 14.12 Bohr magnetons per cell

***

DFT (PBE) results for GdCd2In after structural relaxation.

Cell: 5.173 5.173 5.173 Å, 60.00 60.00 60.00°
Fractional positions:
Gd  0.000  0.000  0.000
Cd  0.250  0.250  0.250
Cd  0.750  0.750  0.750
In  0.500  0.500  0.500

- Space-group type: No. 225
- E_form: -101 kJ/mol of formula units
- Excess energy over the best structure of this formula in the dataset: 6.2 kJ per mole of atoms
- Crystal system: cubic
- Energy: -19.695 eV/cell
- D(E_F): 0.645 states/eV/atom
- Total moment: 6.85 Bohr magnetons per cell

***

DFT (PBE) results for AlCrPd6 after structural relaxation.

Cell: 4.661 5.202 5.218 Å, 96.78 90.24 91.48°
Fractional positions:
Al  0.000  0.000  0.000
Cr  0.500  0.500  0.500
Pd  0.012  0.467  0.749
Pd  0.247  0.930  0.579
Pd  0.486  0.751  0.031
Pd  0.514  0.249  0.969
Pd  0.753  0.070  0.421
Pd  0.988  0.533  0.251

- Space-group type: No. 2
- E_form: -155 kJ/mol of formula units
- Excess energy over the best structure of this formula in the dataset: 14.3 kJ per mole of atoms
- Crystal system: triclinic
- Energy: -46.129 eV/cell
- D(E_F): 0.873 states/eV/atom
- Total moment: 3.36 Bohr magnetons per cell

***

DFT (PBE) results for CsAlSb2Te after structural relaxation.

Cell: 6.298 6.298 6.489 Å, 90.00 90.00 90.00°
Fractional positions:
Cs  0.000  0.000  0.000
Al  0.500  0.500  0.500
Sb  0.000  0.500  0.000
Sb  0.500  0.000  0.000
Te  0.000  0.000  0.500

- Space-group type: No. 123
- Excess energy over the best structure of this formula in the dataset: 132.7 kJ per mole of atoms
- Crystal system: tetragonal
- Energy: -9.048 eV/cell
- D(E_F): 1.264 states/eV/atom
- Total moment: 1.01 Bohr magnetons per cell

***

DFT (PBE) results for Hf2Pd3Au6 after structural relaxation.

Cell: 4.901 4.929 9.046 Å, 79.54 78.81 76.30°
Fractional positions:
Hf  0.058  0.094  0.193
Hf  0.942  0.906  0.807
Pd  0.000  0.000  0.500
Pd  0.361  0.128  0.881
Pd  0.639  0.872  0.119
Au  0.126  0.425  0.633
Au  0.223  0.601  0.055
Au  0.482  0.216  0.355
Au  0.518  0.784  0.645
Au  0.777  0.399  0.945
Au  0.874  0.575  0.367

- Space-group type: No. 2
- E_form: -369 kJ/mol of formula units
- Excess energy over the best structure of this formula in the dataset: 0.0 kJ per mole of atoms
- Crystal system: triclinic
- Energy: -58.976 eV/cell
- D(E_F): 0.431 states/eV/atom
- Total moment: 0.00 Bohr magnetons per cell

***

DFT (PBE) results for Pm2DyPuP4 after structural relaxation.

Cell: 7.024 4.070 7.034 Å, 90.00 109.47 90.00°
Fractional positions:
Pm  0.000  0.000  0.000
Pm  0.500  0.500  0.000
Dy  0.000  0.500  0.500
Pu  0.500  0.000  0.500
P  0.249  0.000  0.740
P  0.256  0.500  0.262
P  0.744  0.500  0.738
P  0.751  0.000  0.260

- Space-group type: No. 10
- E_form: -1128 kJ/mol of formula units
- Crystal system: monoclinic
- Energy: -61.766 eV/cell
- D(E_F): 1.521 states/eV/atom
- Total moment: 4.87 Bohr magnetons per cell

***

DFT (PBE) results for ScPd4Pt2 after structural relaxation.

Cell: 6.941 5.153 7.239 Å, 90.00 116.88 90.00°
Fractional positions:
Sc  0.236  0.250  0.221
Sc  0.764  0.750  0.779
Pd  0.010  0.250  0.428
Pd  0.055  0.250  0.817
Pd  0.393  0.000  0.769
Pd  0.393  0.500  0.769
Pd  0.607  0.000  0.231
Pd  0.607  0.500  0.231
Pd  0.945  0.750  0.183
Pd  0.990  0.750  0.572
Pt  0.216  0.750  0.994
Pt  0.384  0.750  0.423
Pt  0.616  0.250  0.577
Pt  0.784  0.250  0.006

- Space-group type: No. 11
- E_form: -269 kJ/mol of formula units
- Crystal system: monoclinic
- Energy: -83.948 eV/cell
- D(E_F): 1.239 states/eV/atom
- Total moment: 0.00 Bohr magnetons per cell

***

DFT (PBE) results for TiGe2HRh after structural relaxation.

Cell: 4.970 4.970 4.487 Å, 90.00 90.00 90.00°
Fractional positions:
Ti  0.000  0.000  0.000
Ge  0.000  0.500  0.000
Ge  0.500  0.000  0.000
H  0.500  0.500  0.500
Rh  0.000  0.000  0.500

- Space-group type: No. 123
- Crystal system: tetragonal
- Energy: -22.862 eV/cell
- D(E_F): 0.551 states/eV/atom
- Total moment: 0.78 Bohr magnetons per cell

***

DFT (PBE) results for CsCuSe after structural relaxation.

Cell: 4.253 4.253 5.593 Å, 90.00 90.00 120.00°
Fractional positions:
Cs  0.000  0.000  0.000
Cu  0.667  0.333  0.500
Se  0.333  0.667  0.500

- Space-group type: No. 187
- Crystal system: hexagonal
- Energy: -10.372 eV/cell
- D(E_F): 0.050 states/eV/atom
- Total moment: 0.00 Bohr magnetons per cell

***

DFT (PBE) results for Ho2BeGa after structural relaxation.

Cell: 3.460 3.460 6.984 Å, 90.00 90.00 90.00°
Fractional positions:
Ho  0.000  0.000  0.234
Ho  0.000  0.000  0.766
Be  0.500  0.500  0.000
Ga  0.500  0.500  0.500

- Space-group type: No. 123
- E_form: -99 kJ/mol of formula units
- Excess energy over the best structure of this formula in the dataset: 0.0 kJ per mole of atoms
- Crystal system: tetragonal
- Energy: -16.939 eV/cell
- D(E_F): 0.582 states/eV/atom
- Total moment: 0.00 Bohr magnetons per cell